A:
# K2BaHf PBE-GGA relaxed
data_K2BaHf
_symmetry_space_group_name_H-M 'I -4 2 d'
_symmetry_Int_Tables_number 122
_symmetry_space_group_name_Hall 'I -4 2bw'
_cell_length_a 5.070
_cell_length_b 5.070
_cell_length_c 29.166
_cell_angle_alpha 90.00
_cell_angle_beta 90.00
_cell_angle_gamma 90.00
loop_
_atom_site_label
_atom_site_type_symbol
_atom_site_fract_x
_atom_site_fract_y
_atom_site_fract_z
K1 K 0.237 0.250 0.125
Ba1 Ba 0.000 0.000 0.500
Hf1 Hf 0.000 0.000 0.000
# Fermi-level density of states: 1.766 states/eV per atom
# M_tot: 0.444 μB per atom
# calculated volume: 749.60 Å³/cell

***

B:
# K2BaHf PBE-GGA relaxed
data_K2BaHf
_symmetry_space_group_name_H-M 'F m -3 m'
_symmetry_Int_Tables_number 225
_symmetry_space_group_name_Hall '-F 4 2 3'
_cell_length_a 9.089
_cell_length_b 9.089
_cell_length_c 9.089
_cell_angle_alpha 90.00
_cell_angle_beta 90.00
_cell_angle_gamma 90.00
loop_
_atom_site_label
_atom_site_type_symbol
_atom_site_fract_x
_atom_site_fract_y
_atom_site_fract_z
K1 K 0.250 0.250 0.250
Ba1 Ba 0.000 0.000 0.000
Hf1 Hf 0.000 0.000 0.500
# Fermi-level density of states: 0.902 states/eV per atom
# M_tot: 0.555 μB per atom
# calculated volume: 750.75 Å³/cell

***

The least stable of them is B.

***

A:
# Ba2LaHf PBE-GGA relaxed
data_Ba2LaHf
_symmetry_space_group_name_H-M 'F m -3 m'
_symmetry_Int_Tables_number 225
_symmetry_space_group_name_Hall '-F 4 2 3'
_cell_length_a 8.551
_cell_length_b 8.551
_cell_length_c 8.551
_cell_angle_alpha 90.00
_cell_angle_beta 90.00
_cell_angle_gamma 90.00
loop_
_atom_site_label
_atom_site_type_symbol
_atom_site_fract_x
_atom_site_fract_y
_atom_site_fract_z
Ba1 Ba 0.250 0.250 0.250
La1 La 0.000 0.000 0.000
Hf1 Hf 0.000 0.000 0.500
# Fermi-level density of states: 1.937 states/eV per atom
# M_tot: 0.307 μB per atom
# calculated volume: 625.25 Å³/cell

***

B:
# Ba2LaHf PBE-GGA relaxed
data_Ba2LaHf
_symmetry_space_group_name_H-M 'I -4 2 d'
_symmetry_Int_Tables_number 122
_symmetry_space_group_name_Hall 'I -4 2bw'
_cell_length_a 4.928
_cell_length_b 4.928
_cell_length_c 25.833
_cell_angle_alpha 90.00
_cell_angle_beta 90.00
_cell_angle_gamma 90.00
loop_
_atom_site_label
_atom_site_type_symbol
_atom_site_fract_x
_atom_site_fract_y
_atom_site_fract_z
Ba1 Ba 0.239 0.250 0.125
La1 La 0.000 0.000 0.500
Hf1 Hf 0.000 0.000 0.000
# Fermi-level density of states: 1.557 states/eV per atom
# M_tot: 0.437 μB per atom
# calculated volume: 627.27 Å³/cell

***

The least stable of them is B.

***

A:
# BaLaHf2 PBE-GGA relaxed
data_BaLaHf2
_symmetry_space_group_name_H-M 'F m -3 m'
_symmetry_Int_Tables_number 225
_symmetry_space_group_name_Hall '-F 4 2 3'
_cell_length_a 7.816
_cell_length_b 7.816
_cell_length_c 7.816
_cell_angle_alpha 90.00
_cell_angle_beta 90.00
_cell_angle_gamma 90.00
loop_
_atom_site_label
_atom_site_type_symbol
_atom_site_fract_x
_atom_site_fract_y
_atom_site_fract_z
Ba1 Ba 0.000 0.000 0.000
La1 La 0.000 0.000 0.500
Hf1 Hf 0.250 0.250 0.250
# Fermi-level density of states: 1.107 states/eV per atom
# M_tot: 0.000 μB per atom
# calculated volume: 477.53 Å³/cell

***

B:
# BaLaHf2 PBE-GGA relaxed
data_BaLaHf2
_symmetry_space_group_name_H-M 'I -4 2 d'
_symmetry_Int_Tables_number 122
_symmetry_space_group_name_Hall 'I -4 2bw'
_cell_length_a 4.562
_cell_length_b 4.562
_cell_length_c 23.405
_cell_angle_alpha 90.00
_cell_angle_beta 90.00
_cell_angle_gamma 90.00
loop_
_atom_site_label
_atom_site_type_symbol
_atom_site_fract_x
_atom_site_fract_y
_atom_site_fract_z
Ba1 Ba 0.000 0.000 0.000
La1 La 0.000 0.000 0.500
Hf1 Hf 0.238 0.250 0.625
# Fermi-level density of states: 1.660 states/eV per atom
# M_tot: 0.000 μB per atom
# calculated volume: 487.08 Å³/cell

***

The least stable of them is B.

***

A:
# BaLa2Hf PBE-GGA relaxed
data_BaLa2Hf
_symmetry_space_group_name_H-M 'I -4 2 d'
_symmetry_Int_Tables_number 122
_symmetry_space_group_name_Hall 'I -4 2bw'
_cell_length_a 9.205
_cell_length_b 9.205
_cell_length_c 7.004
_cell_angle_alpha 90.00
_cell_angle_beta 90.00
_cell_angle_gamma 90.00
loop_
_atom_site_label
_atom_site_type_symbol
_atom_site_fract_x
_atom_site_fract_y
_atom_site_fract_z
Ba1 Ba 0.000 0.000 0.000
La1 La 0.202 0.250 0.625
Hf1 Hf 0.000 0.000 0.500
# Fermi-level density of states: 1.621 states/eV per atom
# M_tot: 0.000 μB per atom
# calculated volume: 593.52 Å³/cell

***

B:
# BaLa2Hf PBE-GGA relaxed
data_BaLa2Hf
_symmetry_space_group_name_H-M 'F m -3 m'
_symmetry_Int_Tables_number 225
_symmetry_space_group_name_Hall '-F 4 2 3'
_cell_length_a 8.261
_cell_length_b 8.261
_cell_length_c 8.261
_cell_angle_alpha 90.00
_cell_angle_beta 90.00
_cell_angle_gamma 90.00
loop_
_atom_site_label
_atom_site_type_symbol
_atom_site_fract_x
_atom_site_fract_y
_atom_site_fract_z
Ba1 Ba 0.000 0.000 0.000
La1 La 0.250 0.250 0.250
Hf1 Hf 0.000 0.000 0.500
# Fermi-level density of states: 1.119 states/eV per atom
# M_tot: 0.556 μB per atom
# calculated volume: 563.82 Å³/cell

***

The least stable of them is A.

***

A:
# BaLaHf2Pd PBE-GGA relaxed
data_BaLaHf2Pd
_symmetry_space_group_name_H-M 'P 4/m m m'
_symmetry_Int_Tables_number 123
_symmetry_space_group_name_Hall '-P 4 2'
_cell_length_a 5.263
_cell_length_b 5.263
_cell_length_c 6.086
_cell_angle_alpha 90.00
_cell_angle_beta 90.00
_cell_angle_gamma 90.00
loop_
_atom_site_label
_atom_site_type_symbol
_atom_site_fract_x
_atom_site_fract_y
_atom_site_fract_z
Ba1 Ba 0.000 0.000 0.000
La1 La 0.000 0.000 0.500
Hf1 Hf 0.000 0.500 0.500
Pd1 Pd 0.500 0.500 0.000
# Fermi-level density of states: 2.118 states/eV per atom
# M_tot: 0.000 μB per atom
# calculated volume: 168.61 Å³/cell

***

B:
# BaLaHf2Pd PBE-GGA relaxed
data_BaLaHf2Pd
_symmetry_space_group_name_H-M 'P 4/m m m'
_symmetry_Int_Tables_number 123
_symmetry_space_group_name_Hall '-P 4 2'
_cell_length_a 5.302
_cell_length_b 5.302
_cell_length_c 5.724
_cell_angle_alpha 90.00
_cell_angle_beta 90.00
_cell_angle_gamma 90.00
loop_
_atom_site_label
_atom_site_type_symbol
_atom_site_fract_x
_atom_site_fract_y
_atom_site_fract_z
Ba1 Ba 0.000 0.000 0.000
La1 La 0.000 0.000 0.500
Hf1 Hf 0.000 0.500 0.000
Pd1 Pd 0.500 0.500 0.500
# Fermi-level density of states: 2.200 states/eV per atom
# M_tot: 0.000 μB per atom
# calculated volume: 160.92 Å³/cell

***

The least stable of them is B.

***

A:
# BaLiHf3 PBE-GGA relaxed
data_BaLiHf3
_symmetry_space_group_name_H-M 'P m -3 m'
_symmetry_Int_Tables_number 221
_symmetry_space_group_name_Hall '-P 4 2 3'
_cell_length_a 5.360
_cell_length_b 5.360
_cell_length_c 5.360
_cell_angle_alpha 90.00
_cell_angle_beta 90.00
_cell_angle_gamma 90.00
loop_
_atom_site_label
_atom_site_type_symbol
_atom_site_fract_x
_atom_site_fract_y
_atom_site_fract_z
Ba1 Ba 0.000 0.000 0.000
Li1 Li 0.500 0.500 0.500
Hf1 Hf 0.000 0.000 0.500
# Fermi-level density of states: 1.452 states/eV per atom
# M_tot: 0.000 μB per atom
# calculated volume: 153.96 Å³/cell

***

B:
# BaLiHf3 PBE-GGA relaxed
data_BaLiHf3
_symmetry_space_group_name_H-M 'P m -3 m'
_symmetry_Int_Tables_number 221
_symmetry_space_group_name_Hall '-P 4 2 3'
_cell_length_a 5.031
_cell_length_b 5.031
_cell_length_c 5.031
_cell_angle_alpha 90.00
_cell_angle_beta 90.00
_cell_angle_gamma 90.00
loop_
_atom_site_label
_atom_site_type_symbol
_atom_site_fract_x
_atom_site_fract_y
_atom_site_fract_z
Ba1 Ba 0.000 0.000 0.000
Li1 Li 0.500 0.500 0.500
Hf1 Hf 0.000 0.500 0.500
# Fermi-level density of states: 1.158 states/eV per atom
# M_tot: 0.000 μB per atom
# calculated volume: 127.38 Å³/cell

***

The least stable of them is A.

***

A:
# BaLi2Hf PBE-GGA relaxed
data_BaLi2Hf
_symmetry_space_group_name_H-M 'F m -3 m'
_symmetry_Int_Tables_number 225
_symmetry_space_group_name_Hall '-F 4 2 3'
_cell_length_a 7.642
_cell_length_b 7.642
_cell_length_c 7.642
_cell_angle_alpha 90.00
_cell_angle_beta 90.00
_cell_angle_gamma 90.00
loop_
_atom_site_label
_atom_site_type_symbol
_atom_site_fract_x
_atom_site_fract_y
_atom_site_fract_z
Ba1 Ba 0.000 0.000 0.000
Li1 Li 0.250 0.250 0.250
Hf1 Hf 0.000 0.000 0.500
# Fermi-level density of states: 1.193 states/eV per atom
# M_tot: 0.264 μB per atom
# calculated volume: 446.33 Å³/cell

***

B:
# BaLi2Hf PBE-GGA relaxed
data_BaLi2Hf
_symmetry_space_group_name_H-M 'I -4 2 d'
_symmetry_Int_Tables_number 122
_symmetry_space_group_name_Hall 'I -4 2bw'
_cell_length_a 8.343
_cell_length_b 8.343
_cell_length_c 6.517
_cell_angle_alpha 90.00
_cell_angle_beta 90.00
_cell_angle_gamma 90.00
loop_
_atom_site_label
_atom_site_type_symbol
_atom_site_fract_x
_atom_site_fract_y
_atom_site_fract_z
Ba1 Ba 0.000 0.000 0.000
Li1 Li 0.224 0.250 0.625
Hf1 Hf 0.000 0.000 0.500
# Fermi-level density of states: 1.238 states/eV per atom
# M_tot: 0.155 μB per atom
# calculated volume: 453.60 Å³/cell

***

The least stable of them is B.

***

A:
# BaLi2Hf2 PBE-GGA relaxed
data_BaLi2Hf2
_symmetry_space_group_name_H-M 'P 4/m b m'
_symmetry_Int_Tables_number 127
_symmetry_space_group_name_Hall '-P 4 2ab'
_cell_length_a 8.944
_cell_length_b 8.944
_cell_length_c 3.198
_cell_angle_alpha 90.00
_cell_angle_beta 90.00
_cell_angle_gamma 90.00
loop_
_atom_site_label
_atom_site_type_symbol
_atom_site_fract_x
_atom_site_fract_y
_atom_site_fract_z
Ba1 Ba 0.000 0.000 0.000
Li1 Li 0.173 0.327 0.000
Hf1 Hf 0.114 0.614 0.500
# Fermi-level density of states: 0.917 states/eV per atom
# M_tot: 0.287 μB per atom
# calculated volume: 255.85 Å³/cell

***

B:
# BaLi2Hf2 PBE-GGA relaxed
data_BaLi2Hf2
_symmetry_space_group_name_H-M 'I 4/m m m'
_symmetry_Int_Tables_number 139
_symmetry_space_group_name_Hall '-I 4 2'
_cell_length_a 4.097
_cell_length_b 4.097
_cell_length_c 16.724
_cell_angle_alpha 90.00
_cell_angle_beta 90.00
_cell_angle_gamma 90.00
loop_
_atom_site_label
_atom_site_type_symbol
_atom_site_fract_x
_atom_site_fract_y
_atom_site_fract_z
Ba1 Ba 0.000 0.000 0.000
Li1 Li 0.000 0.000 0.387
Hf1 Hf 0.000 0.500 0.250
# Fermi-level density of states: 1.702 states/eV per atom
# M_tot: 0.000 μB per atom
# calculated volume: 280.70 Å³/cell

***

The least stable of them is A.